First-principles (GGA-PBE) data for crystalline Cd5Ga2Ag5 at its relaxed geometry, as listed in Alexandria.

Output
M_tot: 0.00 μB/cell
ρ: 8.86 g cm⁻³
total energy: -24.79 eV/cell
space-group type: C2/m

abc: 4.8148 7.5830 7.5008
angles: 66.71 71.28 71.49
With the nearest neighbours (Å) after each atom.
Positions (direct):
1 Ga 0.8376 0.5063 0.8186  5 Ag 2.80-2.88, 3 Cd 2.88-2.97
2 Cd 0.6718 0.0081 0.6484  6 Ag 2.92-3.04, 4 Cd 2.97-3.23
3 Cd 0.3282 0.9919 0.3516  6 Ag 2.92-3.04, 4 Cd 2.97-3.23
4 Cd 0.4103 0.2507 0.9287  3 Ga 2.88-2.97, 2 Ag 2.95, 3 Cd 2.97-3.05
5 Cd 0.5897 0.7493 0.0713  3 Ga 2.88-2.97, 2 Ag 2.95, 3 Cd 2.97-3.05
6 Ag 0.0000 0.0000 0.0000  4 Ag 2.87-2.91, 4 Cd 2.95
7 Ag 0.0778 0.2569 0.5876  2 Ga 2.80-2.83, 1 Ag 2.91, 5 Cd 2.92-2.95
8 Ag 0.7536 0.2633 0.2294  3 Ga 2.87-2.88, 1 Ag 2.87, 4 Cd 2.94-3.04
9 Ag 0.2464 0.7367 0.7706  3 Ga 2.87-2.88, 1 Ag 2.87, 4 Cd 2.94-3.04
10 Ag 0.9222 0.7431 0.4124  2 Ga 2.80-2.83, 1 Ag 2.91, 5 Cd 2.92-2.95
11 Ga 0.1624 0.4937 0.1814  5 Ag 2.80-2.88, 3 Cd 2.88-2.97
12 Cd 0.5000 0.5000 0.5000  6 Ag 2.92-2.95, 2 Cd 2.99



First-principles (GGA-PBE) data for crystalline TbSmTlGe at its relaxed geometry, as listed in Alexandria.

Output
M_tot: 0.00 μB/cell
ρ: 9.37 g cm⁻³
total energy: -18.10 eV/cell
space-group type: F-43m

abc: 5.2764 5.2764 5.2764
angles: 60.00 60.00 60.00
With the nearest neighbours (Å) after each atom.
Positions (direct):
1 Tl 0.2500 0.2500 0.2500  4 Tb 3.23, 4 Sm 3.23
2 Tb 0.5000 0.5000 0.5000  4 Ge 3.23, 4 Tl 3.23
3 Sm 0.0000 0.0000 0.0000  4 Tl 3.23, 4 Ge 3.23
4 Ge 0.7500 0.7500 0.7500  4 Tb 3.23, 4 Sm 3.23



First-principles (GGA-PBE) data for crystalline HfInC3 at its relaxed geometry, as listed in Alexandria.

Output
M_tot: 0.00 μB/cell
ΔE to the lowest computed polymorph: 0 kJ/mol of formula units
ρ: 6.68 g cm⁻³
space-group type: Pm-3m

abc: 4.3431 4.3431 4.3431
angles: 90.00 90.00 90.00
With the nearest neighbours (Å) after each atom.
Positions (direct):
1 Hf 0.0000 0.0000 0.0000  6 C 2.17
2 C 0.0000 0.0000 0.5000  2 Hf 2.17
3 C 0.0000 0.5000 0.0000  2 Hf 2.17
4 In 0.5000 0.5000 0.5000  12 C 3.07
5 C 0.5000 0.0000 0.0000  2 Hf 2.17



First-principles (GGA-PBE) data for crystalline Zr2Ag2Pb at its relaxed geometry, as listed in Alexandria.

Output
M_tot: 0.00 μB/cell
ΔE to the lowest computed polymorph: 55 kJ/mol of formula units
ρ: 8.90 g cm⁻³
space-group type: P4/mbm

abc: 8.2597 8.2597 3.3120
angles: 90.00 90.00 90.00
With the nearest neighbours (Å) after each atom.
Positions (direct):
1 Zr 0.3319 0.8319 0.0000  6 Ag 2.92-2.96, 2 Pb 3.07
2 Ag 0.8741 0.3741 0.5000  6 Zr 2.92-2.96, 1 Ag 2.94
3 Ag 0.3741 0.1259 0.5000  6 Zr 2.92-2.96, 1 Ag 2.94
4 Zr 0.6681 0.1681 0.0000  6 Ag 2.92-2.96, 2 Pb 3.07
5 Zr 0.8319 0.6681 0.0000  6 Ag 2.92-2.96, 2 Pb 3.07
6 Zr 0.1681 0.3319 0.0000  6 Ag 2.92-2.96, 2 Pb 3.07
7 Pb 0.5000 0.5000 0.0000  4 Zr 3.07, 2 Pb 3.31
8 Pb 0.0000 0.0000 0.0000  4 Zr 3.07, 2 Pb 3.31
9 Ag 0.6259 0.8741 0.5000  6 Zr 2.92-2.96, 1 Ag 2.94
10 Ag 0.1259 0.6259 0.5000  6 Zr 2.92-2.96, 1 Ag 2.94



First-principles (GGA-PBE) data for crystalline KLi2AsPd at its relaxed geometry, as listed in Alexandria.

Output
M_tot: 0.00 μB/cell
ρ: 3.30 g cm⁻³
total energy: -16.81 eV/cell
space-group type: P4/mmm

abc: 4.9098 4.9098 4.8936
angles: 90.00 90.00 90.00
With the nearest neighbours (Å) after each atom.
Positions (direct):
1 Pd 0.0000 0.0000 0.5000  2 As 2.45
2 K 0.5000 0.5000 0.5000  8 Li 3.47, 4 Pd 3.47
3 Li 0.5000 0.0000 0.0000  2 As 2.45
4 As 0.0000 0.0000 0.0000  2 Pd 2.45, 4 Li 2.45
5 Li 0.0000 0.5000 0.0000  2 As 2.45



First-principles (GGA-PBE) data for crystalline RbInAg2I6 at its relaxed geometry, as listed in Alexandria.

Output
M_tot: 0.00 μB/cell
formation energy from raw total energies: -0.5231 eV per atom
ρ: 5.00 g cm⁻³
space-group type: P1

abc: 7.8717 7.8641 8.6316
angles: 62.64 62.57 59.77
With the nearest neighbours (Å) after each atom.
Positions (direct):
1 I 0.9238 0.5771 0.2257  1 In 3.01, 2 Ag 3.08-3.10
2 I 0.3330 0.7415 0.7591  1 In 2.95, 2 Ag 3.09-3.20
3 Ag 0.5126 0.5125 0.4600  6 I 3.08-3.20
4 Rb 0.8065 0.8084 0.5774  6 I 3.53-3.77
5 I 0.7407 0.1701 0.7553  1 In 2.95, 2 Ag 3.12-3.16
6 In 0.3306 0.3302 0.0087  6 I 2.95-3.02
7 I 0.5795 0.2706 0.2233  1 In 3.02, 2 Ag 3.07-3.10
8 I 0.1709 0.3361 0.7552  1 In 2.96, 2 Ag 3.13-3.14
9 Ag 0.9909 0.9914 0.0264  6 I 3.07-3.13
10 I 0.2729 0.9238 0.2241  1 In 3.02, 2 Ag 3.08-3.10



First-principles (GGA-PBE) data for crystalline ScBe4Rh5 at its relaxed geometry, as listed in Alexandria.

Output
M_tot: 0.00 μB/cell
ρ: 8.23 g cm⁻³
total energy: -64.22 eV/cell
space-group type: P4/mmm

abc: 2.8820 2.8820 14.4620
angles: 90.00 90.00 90.00
With the nearest neighbours (Å) after each atom.
Positions (direct):
1 Rh 0.5000 0.5000 0.3111  8 Be 2.42-2.46
2 Rh 0.5000 0.5000 0.6889  8 Be 2.42-2.46
3 Sc 0.0000 0.0000 0.0000  8 Rh 2.71, 4 Sc 2.88
4 Be 0.0000 0.0000 0.7793  8 Rh 2.42-2.48, 1 Be 2.69
5 Be 0.0000 0.0000 0.5936  8 Rh 2.45-2.46, 2 Be 2.69-2.71
6 Rh 0.5000 0.5000 0.8769  4 Be 2.48, 4 Sc 2.71, 1 Rh 2.72
7 Rh 0.5000 0.5000 0.1231  4 Be 2.48, 4 Sc 2.71, 1 Rh 2.72
8 Rh 0.5000 0.5000 0.5000  8 Be 2.45, 2 Rh 2.73
9 Be 0.0000 0.0000 0.2207  8 Rh 2.42-2.48, 1 Be 2.69
10 Be 0.0000 0.0000 0.4064  8 Rh 2.45-2.46, 2 Be 2.69-2.71



First-principles (GGA-PBE) data for crystalline Np3Tl2O8 at its relaxed geometry, as listed in Alexandria.

Output
M_tot: 7.00 μB/cell
formation energy from raw total energies: -2.4026 eV per atom
ρ: 7.79 g cm⁻³
space-group type: C2/m

abc: 6.0026 7.6290 7.6290
angles: 54.19 72.23 72.23
With the nearest neighbours (Å) after each atom.
Positions (direct):
1 O 0.5392 0.5890 0.5890  2 Np 2.15
2 Tl 0.8483 0.6981 0.6981  3 O 2.70-2.74
3 Np 0.0000 0.0000 0.0000  6 O 2.15-2.26
4 O 0.6021 0.0800 0.0800  3 Np 2.26-2.27
5 O 0.1239 0.2998 0.8590  2 Np 2.15-2.16
6 O 0.1239 0.8590 0.2998  2 Np 2.15-2.16
7 Np 0.5000 0.2548 0.7452  6 O 2.15-2.27
8 O 0.3979 0.9200 0.9200  3 Np 2.26-2.27
9 O 0.8761 0.1410 0.7002  2 Np 2.15-2.16
10 O 0.8761 0.7002 0.1410  2 Np 2.15-2.16
11 Np 0.5000 0.7452 0.2548  6 O 2.15-2.27
12 O 0.4608 0.4110 0.4110  2 Np 2.15
13 Tl 0.1517 0.3019 0.3019  3 O 2.70-2.74



First-principles (GGA-PBE) data for crystalline NbSi2C at its relaxed geometry, as listed in Alexandria.

Output
M_tot: 0.00 μB/cell
formation energy from raw total energies: 0.3261 eV per atom
ρ: 5.13 g cm⁻³
space-group type: I-42d

abc: 6.1543 6.1543 5.1490
angles: 53.30 53.30 90.00
With the nearest neighbours (Å) after each atom.
Positions (direct):
1 Nb 0.7500 0.2500 0.5000  8 Si 2.70-2.75, 2 C 2.75
2 Nb 0.0000 0.0000 0.0000  8 Si 2.70-2.75, 2 C 2.75
3 Si 0.3750 0.4667 0.7500  2 C 1.95
4 Si 0.2167 0.6250 0.2500  2 C 1.95
5 C 0.5000 0.5000 0.0000  4 Si 1.95
6 C 0.2500 0.7500 0.5000  4 Si 1.95
7 Si 0.5333 0.1250 0.2500  2 C 1.95
8 Si 0.8750 0.7833 0.7500  2 C 1.95



First-principles (GGA-PBE) data for crystalline Hg4MoBr at its relaxed geometry, as listed in Alexandria.

Output
M_tot: 4.94 μB/cell
formation energy from raw total energies: 0.6445 eV per atom
ρ: 10.04 g cm⁻³
space-group type: F-43m

abc: 6.1155 6.1155 6.1155
angles: 60.00 60.00 60.00
With the nearest neighbours (Å) after each atom.
Positions (direct):
1 Hg 0.3750 0.3750 0.8751  6 Hg 3.06
2 Hg 0.8751 0.3750 0.3750  6 Hg 3.06
3 Hg 0.3750 0.8751 0.3750  6 Hg 3.06
4 Hg 0.3750 0.3750 0.3750  6 Hg 3.06
5 Br 0.0000 0.0000 0.0000  12 Hg 3.59, 4 Mo 3.74
6 Mo 0.7500 0.7500 0.7500  12 Hg 3.59, 4 Br 3.74



First-principles (GGA-PBE) data for crystalline Ca2PrAg at its relaxed geometry, as listed in Alexandria.

Output
M_tot: 0.00 μB/cell
ΔE to the lowest computed polymorph: 29 kJ/mol of formula units
ρ: 4.07 g cm⁻³
space-group type: R3m

abc: 3.8083 3.8083 10.9033
angles: 79.94 79.94 60.00
With the nearest neighbours (Å) after each atom.
Positions (direct):
1 Ca 0.0684 0.0684 0.7947  3 Ag 3.11
2 Pr 0.5004 0.5004 0.4987  6 Pr 3.81, 6 Ca 3.82-3.85
3 Ca 0.2647 0.2647 0.2058  3 Ag 3.10
4 Ag 0.6664 0.6664 0.0007  6 Ca 3.10-3.11



First-principles (GGA-PBE) data for crystalline CoTcBiAu2 at its relaxed geometry, as listed in Alexandria.

Output
M_tot: 1.71 μB/cell
ρ: 11.11 g cm⁻³
total energy: -22.70 eV/cell
space-group type: P4/mmm

abc: 5.1245 4.3250 5.1245
angles: 90.00 90.00 90.00
With the nearest neighbours (Å) after each atom.
Positions (direct):
1 Tc 0.0000 0.0000 0.0000  2 Co 2.16
2 Au 0.5000 0.0000 0.0000  2 Tc 2.56
3 Au 0.0000 0.0000 0.5000  2 Tc 2.56
4 Bi 0.5000 0.5000 0.5000  8 Au 3.35, 4 Co 3.62
5 Co 0.0000 0.5000 0.0000  2 Tc 2.16



First-principles (GGA-PBE) data for crystalline LaBr2N at its relaxed geometry, as listed in Alexandria.

Output
M_tot: 2.19 μB/cell
formation energy from raw total energies: -0.1722 eV per atom
ΔE to the lowest computed polymorph: 36 kJ/mol of formula units
ρ: 5.48 g cm⁻³
space-group type: I-42d

abc: 4.0946 4.0946 11.6602
angles: 79.89 79.89 90.00
With the nearest neighbours (Å) after each atom.
Positions (direct):
1 Br 0.1252 0.6250 0.2500  4 Br 2.89-2.90, 2 N 3.17, 2 La 3.17
2 Br 0.8750 0.8748 0.7500  4 Br 2.89-2.90, 2 N 3.17, 2 La 3.17
3 La 0.7500 0.2500 0.5000  4 N 2.90, 4 Br 3.17
4 Br 0.3750 0.3752 0.7500  4 Br 2.89-2.90, 2 N 3.17, 2 La 3.17
5 La 0.0000 0.0000 0.0000  4 N 2.90, 4 Br 3.17
6 Br 0.6248 0.1250 0.2500  4 Br 2.89-2.90, 2 N 3.17, 2 La 3.17
7 N 0.5000 0.5000 0.0000  4 La 2.90, 4 Br 3.17
8 N 0.2500 0.7500 0.5000  4 La 2.90, 4 Br 3.17



First-principles (GGA-PBE) data for crystalline U3Tl4Te8Au at its relaxed geometry, as listed in Alexandria.

Output
M_tot: 6.99 μB/cell
formation energy from raw total energies: -0.4298 eV per atom
ρ: 8.33 g cm⁻³
space-group type: C2/m

abc: 8.7127 9.7126 8.7472
angles: 116.86 119.87 90.00
With the nearest neighbours (Å) after each atom.
Positions (direct):
1 Tl 0.0000 0.0000 0.5000  6 Te 3.44-3.48
2 Te 0.2604 0.2891 0.0252  1 Au 3.05, 2 U 3.08
3 Te 0.7391 0.7180 0.4782  3 U 3.10, 3 Tl 3.44-3.45
4 Au 0.0000 0.5000 0.0000  6 Te 3.05-3.09
5 Te 0.7616 0.2870 0.5231  2 U 3.07, 1 Au 3.09
6 Te 0.2353 0.7109 0.9748  1 Au 3.05, 2 U 3.08
7 U 0.5000 0.5000 0.0000  6 Te 3.08-3.10
8 Tl 0.5000 0.0000 0.0000  6 Te 3.46-3.49
9 Tl 0.0000 0.0000 0.0000  6 Te 3.45-3.47
10 U 0.0000 0.5000 0.5000  6 Te 3.07-3.10
11 Te 0.7396 0.7109 0.9748  1 Au 3.05, 2 U 3.08
12 Te 0.2609 0.2820 0.5218  3 U 3.10, 3 Tl 3.44-3.45
13 Te 0.7647 0.2891 0.0252  1 Au 3.05, 2 U 3.08
14 Tl 0.5000 0.0000 0.5000  6 Te 3.44-3.48
15 Te 0.2384 0.7130 0.4769  2 U 3.07, 1 Au 3.09
16 U 0.5000 0.5000 0.5000  6 Te 3.07-3.10



First-principles (GGA-PBE) data for crystalline Zr2Zn2Cd at its relaxed geometry, as listed in Alexandria.

Output
M_tot: 0.00 μB/cell
ρ: 7.38 g cm⁻³
total energy: -21.67 eV/cell
space-group type: Cmmm

abc: 3.2445 4.2825 7.2211
angles: 107.25 90.00 90.00
With the nearest neighbours (Å) after each atom.
Positions (direct):
1 Zr 0.5000 0.6230 0.2460  6 Zn 2.90-2.92, 4 Cd 3.18
2 Cd 0.0000 0.0000 0.0000  2 Zn 2.78
3 Zr 0.5000 0.3770 0.7540  6 Zn 2.90-2.92, 4 Cd 3.18
4 Zn 0.0000 0.2013 0.4026  2 Zn 2.53, 1 Cd 2.78
5 Zn 0.0000 0.7987 0.5974  2 Zn 2.53, 1 Cd 2.78



First-principles (GGA-PBE) data for crystalline CsTl2F at its relaxed geometry, as listed in Alexandria.

Output
M_tot: 0.00 μB/cell
formation energy from raw total energies: -0.4007 eV per atom
ρ: 6.73 g cm⁻³
space-group type: Fm-3m

abc: 5.8056 5.8056 5.8056
angles: 60.00 60.00 60.00
With the nearest neighbours (Å) after each atom.
Positions (direct):
1 Tl 0.2500 0.2500 0.2500  4 F 3.56, 4 Cs 3.56
2 F 0.0000 0.0000 0.0000  8 Tl 3.56
3 Cs 0.5000 0.5000 0.5000  8 Tl 3.56
4 Tl 0.7500 0.7500 0.7500  4 F 3.56, 4 Cs 3.56



First-principles (GGA-PBE) data for crystalline LaZnCr at its relaxed geometry, as listed in Alexandria.

Output
M_tot: 3.77 μB/cell
ΔE to the lowest computed polymorph: 186 kJ/mol of formula units
ρ: 4.95 g cm⁻³
space-group type: F-43m

abc: 4.9529 4.9529 4.9529
angles: 60.00 60.00 60.00
With the nearest neighbours (Å) after each atom.
Positions (direct):
1 Zn 0.0000 0.0000 0.0000  4 La 3.03
2 La 0.2500 0.2500 0.2500  4 Cr 3.03, 4 Zn 3.03
3 Cr 0.5000 0.5000 0.5000  4 La 3.03



First-principles (GGA-PBE) data for crystalline KHgTe at its relaxed geometry, as listed in Alexandria.

Output
M_tot: 0.00 μB/cell
formation energy from raw total energies: -0.2558 eV per atom
ΔE to the lowest computed polymorph: 62 kJ/mol of formula units
ρ: 5.84 g cm⁻³
space-group type: P3m1

abc: 3.9438 3.9438 7.7575
angles: 90.00 90.00 120.00
With the nearest neighbours (Å) after each atom.
Positions (direct):
1 Te 0.6667 0.3333 0.6745  3 Hg 3.36, 3 K 3.49
2 K 0.3333 0.6667 0.3327  3 Hg 3.48, 3 Te 3.49
3 Hg 0.0000 0.0000 0.9928  3 Te 3.36, 3 K 3.48



First-principles (GGA-PBE) data for crystalline Tb4Pm3SmS8 at its relaxed geometry, as listed in Alexandria.

Output
M_tot: 0.00 μB/cell
formation energy from raw total energies: -2.0187 eV per atom
ρ: 6.89 g cm⁻³
space-group type: R-3m

abc: 7.9341 7.9814 7.9335
angles: 119.80 120.00 90.00
With the nearest neighbours (Å) after each atom.
Positions (direct):
1 S 0.2529 0.7601 0.0072  3 Tb 2.77-2.78, 1 Sm 2.85, 2 Pm 2.85-2.86
2 Tb 0.0000 0.0000 0.5000  6 S 2.77
3 S 0.7544 0.7601 0.0072  3 Tb 2.77-2.78, 1 Sm 2.85, 2 Pm 2.85-2.86
4 Sm 0.0000 0.5000 0.0000  6 S 2.85
5 Tb 0.0000 0.0000 0.0000  6 S 2.77
6 S 0.7536 0.7609 0.5072  3 Tb 2.77, 3 Pm 2.86
7 S 0.2529 0.7601 0.5057  3 Tb 2.77-2.78, 1 Sm 2.85, 2 Pm 2.86
8 Pm 0.0000 0.5000 0.5000  6 S 2.85-2.86
9 Pm 0.5000 0.5000 0.5000  6 S 2.85-2.86
10 S 0.2464 0.2391 0.4928  3 Tb 2.77, 3 Pm 2.86
11 S 0.2456 0.2399 0.9928  3 Tb 2.77-2.78, 1 Sm 2.85, 2 Pm 2.85-2.86
12 Pm 0.5000 0.5000 0.0000  6 S 2.86
13 Tb 0.5000 0.0000 0.0000  6 S 2.78
14 S 0.7471 0.2399 0.9928  3 Tb 2.77-2.78, 1 Sm 2.85, 2 Pm 2.85-2.86
15 S 0.7471 0.2399 0.4943  3 Tb 2.77-2.78, 1 Sm 2.85, 2 Pm 2.86
16 Tb 0.5000 0.0000 0.5000  6 S 2.77



First-principles (GGA-PBE) data for crystalline TiPd2Pb at its relaxed geometry, as listed in Alexandria.

Output
M_tot: 0.00 μB/cell
ρ: 10.56 g cm⁻³
total energy: -23.65 eV/cell
space-group type: P4/mmm

abc: 3.3543 3.3543 6.5386
angles: 90.00 90.00 90.00
With the nearest neighbours (Å) after each atom.
Positions (direct):
1 Pb 0.5000 0.5000 0.5000  8 Pd 3.05, 2 Ti 3.27, 4 Pb 3.35
2 Pd 0.0000 0.0000 0.2068  1 Pd 2.70, 4 Ti 2.73
3 Ti 0.5000 0.5000 0.0000  8 Pd 2.73
4 Pd 0.0000 0.0000 0.7932  1 Pd 2.70, 4 Ti 2.73